Entry 1:
## TlZn2Pd7 (GGA-PBE)

Data for crystalline TlZn2Pd7 at its relaxed geometry.

Geometry as POSCAR:
```
TlZn2Pd7
1.0
3.646 -6.185 0.000
3.646 6.185 0.000
0.000 0.000 4.433
Tl Zn Pd
1 2 7
direct
0.000 0.000 0.000
0.300 0.700 0.500
0.700 0.300 0.500
0.070 0.302 0.500
0.216 0.784 0.000
0.302 0.070 0.500
0.500 0.500 0.500
0.698 0.930 0.500
0.784 0.216 0.000
0.930 0.698 0.500
```

Calculated values
Energy relative to the elements ... 0.133 eV per atom
Spin magnetization ... 0.0 μB/cell
Symmetry ... Cmmm, No. 65

Entry 2:
## TlZnPd4 (GGA-PBE)

Data for crystalline TlZnPd4 at its relaxed geometry.

Geometry as POSCAR:
```
TlZnPd4
1.0
7.490 0.000 0.000
0.000 2.989 0.000
0.000 0.000 17.651
Tl Zn Pd
4 4 16
direct
0.231 0.250 0.187
0.269 0.750 0.687
0.731 0.250 0.313
0.769 0.750 0.813
0.249 0.250 0.947
0.251 0.750 0.447
0.749 0.250 0.553
0.751 0.750 0.053
0.035 0.750 0.565
0.055 0.750 0.302
0.107 0.750 0.055
0.131 0.750 0.838
0.369 0.250 0.338
0.393 0.250 0.555
0.445 0.250 0.802
0.465 0.250 0.065
0.535 0.750 0.935
0.555 0.750 0.198
0.607 0.750 0.445
0.631 0.750 0.662
0.869 0.250 0.162
0.893 0.250 0.945
0.945 0.250 0.698
0.965 0.250 0.435
```

Calculated values
Energy relative to the elements ... -0.256 eV per atom
Spin magnetization ... 0.0 μB/cell
Symmetry ... Pnma, No. 62
Excess energy over the best structure of this formula in the dataset ... 0.0 meV/atom

Entry 3:
## TlZn2Pd2 (GGA-PBE)

Data for crystalline TlZn2Pd2 at its relaxed geometry.

Geometry as POSCAR:
```
TlZn2Pd2
1.0
-2.028 2.028 5.716
2.028 -2.028 5.716
2.028 2.028 -5.716
Tl Zn Pd
1 2 2
direct
0.000 0.000 0.000
0.387 0.387 0.000
0.613 0.613 0.000
0.250 0.750 0.500
0.750 0.250 0.500
```

Calculated values
Energy relative to the elements ... -0.143 eV per atom
Spin magnetization ... 0.0 μB/cell
Symmetry ... I4/mmm, No. 139
Excess energy over the best structure of this formula in the dataset ... 156.0 meV/atom